Here is a relaxed structure of PmSmHoN3 from Alexandria via LeMat-Bulk. Energies are from PBE.

Lattice parameters (Å, degrees): 6.0896 3.5224 9.1586 90.00 101.57 90.00
Last column: nearest neighbours and their distance in Å.
Sites, in units of the cell vectors:
Pm 0.1530 0.2500 0.1952  7 N 2.54-2.72
Pm 0.8470 0.7500 0.8048  7 N 2.54-2.72
Sm 0.2691 0.7500 0.5468  6 N 2.42-2.67
Sm 0.7309 0.2500 0.4532  6 N 2.42-2.67
Ho 0.3502 0.2500 0.8624  5 N 2.27-2.51
Ho 0.6498 0.7500 0.1376  5 N 2.27-2.51
N 0.0389 0.2500 0.6751  1 Ho 2.29, 1 Sm 2.47, 2 Pm 2.54
N 0.2542 0.7500 0.9923  3 Ho 2.27-2.51
N 0.4623 0.7500 0.3408  1 Ho 2.37, 3 Sm 2.42-2.48
N 0.5377 0.2500 0.6592  1 Ho 2.37, 3 Sm 2.42-2.48
N 0.7458 0.2500 0.0077  3 Ho 2.27-2.51
N 0.9611 0.7500 0.3249  1 Ho 2.29, 1 Sm 2.47, 2 Pm 2.54

Calculated values
- formation energy from raw total energies (meV/atom) = -1379.8

=====

Here is a relaxed structure of GeHF from Alexandria via LeMat-Bulk. Energies are from PBE.

Lattice parameters (Å, degrees): 4.5973 4.7908 4.8065 88.87 87.81 67.35
Last column: nearest neighbours and their distance in Å.
Sites, in units of the cell vectors:
Ge 0.0000 0.0000 0.0000  2 H 1.56-1.60
Ge 0.2156 0.2886 0.6171  1 F 1.84
H 0.0998 0.0268 0.3109  1 Ge 1.60
H 0.6627 0.9996 0.0498  1 Ge 1.56
F 0.2252 0.5766 0.9755  1 Ge 1.89
F 0.8213 0.5785 0.5610  1 Ge 1.84

Calculated values
- density of states at the Fermi level (states/eV per atom) = 0.000
- ΔE to the lowest computed polymorph (meV/atom) = 113

=====

Here is a relaxed structure of Zr2TaV9 from Alexandria via LeMat-Bulk. Energies are from PBE.

Lattice parameters (Å, degrees): 8.6120 8.6120 8.6120 35.24 35.24 35.24
Last column: nearest neighbours and their distance in Å.
Sites, in units of the cell vectors:
Zr 0.1433 0.1433 0.1433  12 V 3.02-3.06, 3 Zr 3.22
Zr 0.8567 0.8567 0.8567  12 V 3.02-3.06, 3 Zr 3.22
Ta 0.0000 0.0000 0.0000  18 V 3.01-3.25
V 0.0795 0.5803 0.5803  7 V 2.44-2.61
V 0.3328 0.3328 0.3328  6 V 2.44-2.46
V 0.4197 0.4197 0.9205  7 V 2.44-2.61
V 0.4197 0.9205 0.4197  7 V 2.44-2.61
V 0.5000 0.5000 0.5000  6 V 2.58
V 0.5803 0.0795 0.5803  7 V 2.44-2.61
V 0.5803 0.5803 0.0795  7 V 2.44-2.61
V 0.6672 0.6672 0.6672  6 V 2.44-2.46
V 0.9205 0.4197 0.4197  7 V 2.44-2.61

Calculated values
- density of states at the Fermi level (states/eV per atom) = 1.679
- calculated formation energy (meV/atom) = 133